No. 1
meta-GGA SCAN Tb5Ge3, single point on PBEsol structure; ΔH_f (0 K) = -859 meV/atom; total energy = -37.243 eV per atom; symmetry = P6_3/mcm (193)
1.0
-0.657 5.847 -2.374
-8.384 -0.655 0.709
4.546 3.108 6.395
Tb Ge
10 6
Direct
0.500 0.333 0.667 Tb
0.000 0.667 0.333 Tb
0.500 0.667 0.333 Tb
0.000 0.333 0.667 Tb
0.250 0.000 0.758 Tb
0.750 0.758 0.758 Tb
0.750 0.242 0.000 Tb
0.250 0.758 0.000 Tb
0.250 0.242 0.242 Tb
0.750 0.000 0.242 Tb
0.250 0.000 0.394 Ge
0.750 0.394 0.394 Ge
0.750 0.606 0.000 Ge
0.250 0.394 0.000 Ge
0.250 0.606 0.606 Ge
0.750 0.000 0.606 Ge

No. 2
meta-GGA SCAN TbGe5, single point on PBEsol structure; ΔH_f (0 K) = -242 meV/atom; total energy = -23.943 eV per atom; symmetry = Immm (71)
1.0
-2.714 -2.440 -1.547
-3.439 -2.205 4.432
-5.493 2.297 0.938
Ge Tb
5 1
Direct
0.667 0.622 0.043 Ge
0.667 0.043 0.622 Ge
0.333 0.957 0.378 Ge
0.333 0.378 0.957 Ge
0.000 0.000 0.000 Ge
0.000 0.500 0.500 Tb

No. 3
meta-GGA SCAN Tb11Ge10, single point on PBEsol structure; ΔH_f (0 K) = -925 meV/atom; total energy = -34.509 eV per atom; symmetry = I4/mmm (139)
1.0
10.778 0.000 0.000
-5.389 9.807 -0.036
0.000 5.955 8.983
Tb Ge
22 20
Direct
0.810 0.619 0.442 Tb
0.810 0.619 0.938 Tb
0.062 0.619 0.190 Tb
0.558 0.619 0.190 Tb
0.190 0.381 0.558 Tb
0.190 0.381 0.062 Tb
0.938 0.381 0.810 Tb
0.442 0.381 0.810 Tb
0.179 0.000 0.179 Tb
0.821 0.000 0.821 Tb
0.179 0.000 0.821 Tb
0.821 0.000 0.179 Tb
0.661 0.321 0.339 Tb
0.339 0.679 0.661 Tb
0.603 0.206 0.718 Tb
0.603 0.206 0.076 Tb
0.924 0.206 0.397 Tb
0.282 0.206 0.397 Tb
0.397 0.794 0.282 Tb
0.397 0.794 0.924 Tb
0.076 0.794 0.603 Tb
0.718 0.794 0.603 Tb
0.366 0.000 0.000 Ge
0.634 0.000 0.000 Ge
0.000 0.000 0.634 Ge
0.000 0.000 0.366 Ge
0.891 0.783 0.109 Ge
0.109 0.217 0.891 Ge
0.381 0.000 0.381 Ge
0.619 0.000 0.619 Ge
0.381 0.000 0.619 Ge
0.619 0.000 0.381 Ge
0.750 0.500 0.750 Ge
0.250 0.500 0.250 Ge
0.892 0.365 0.527 Ge
0.473 0.365 0.108 Ge
0.892 0.365 0.108 Ge
0.473 0.365 0.527 Ge
0.108 0.635 0.473 Ge
0.527 0.635 0.892 Ge
0.108 0.635 0.892 Ge
0.527 0.635 0.473 Ge

No. 4
meta-GGA SCAN Tb5Ge4, single point on PBEsol structure; ΔH_f (0 K) = -935 meV/atom; total energy = -35.398 eV per atom; symmetry = Pnma (62)
1.0
7.565 0.000 0.000
0.000 7.663 0.000
0.000 0.000 14.536
Tb Ge
20 16
Direct
0.291 0.001 0.250 Tb
0.791 0.499 0.250 Tb
0.209 0.501 0.750 Tb
0.709 0.999 0.750 Tb
0.979 0.821 0.400 Tb
0.479 0.679 0.100 Tb
0.521 0.321 0.600 Tb
0.021 0.179 0.900 Tb
0.021 0.179 0.600 Tb
0.521 0.321 0.900 Tb
0.479 0.679 0.400 Tb
0.979 0.821 0.100 Tb
0.126 0.338 0.382 Tb
0.626 0.162 0.118 Tb
0.374 0.838 0.618 Tb
0.874 0.662 0.882 Tb
0.874 0.662 0.618 Tb
0.374 0.838 0.882 Tb
0.626 0.162 0.382 Tb
0.126 0.338 0.118 Tb
0.825 0.363 0.750 Ge
0.325 0.137 0.750 Ge
0.675 0.863 0.250 Ge
0.175 0.637 0.250 Ge
0.078 0.885 0.750 Ge
0.578 0.615 0.750 Ge
0.422 0.385 0.250 Ge
0.922 0.115 0.250 Ge
0.215 0.535 0.543 Ge
0.715 0.965 0.957 Ge
0.285 0.035 0.457 Ge
0.785 0.465 0.043 Ge
0.785 0.465 0.457 Ge
0.285 0.035 0.043 Ge
0.715 0.965 0.543 Ge
0.215 0.535 0.957 Ge

No. 5
meta-GGA SCAN TbGe3, single point on PBEsol structure; ΔH_f (0 K) = -502 meV/atom; total energy = -26.508 eV per atom; symmetry = Cmcm (63)
1.0
-1.768 -2.716 2.120
2.999 0.100 2.629
-3.432 7.432 6.660
Tb Ge
2 6
Direct
0.250 0.082 0.835 Tb
0.750 0.918 0.165 Tb
0.250 0.809 0.382 Ge
0.750 0.191 0.618 Ge
0.250 0.689 0.621 Ge
0.750 0.311 0.379 Ge
0.250 0.461 0.079 Ge
0.750 0.539 0.921 Ge

No. 6
meta-GGA SCAN Tb3Ge4, single point on PBEsol structure; ΔH_f (0 K) = -878 meV/atom; total energy = -31.826 eV per atom; symmetry = Cmcm (63)
1.0
-3.956 -0.604 0.329
2.877 -3.872 2.977
-0.348 8.434 11.308
Tb Ge
6 8
Direct
0.328 0.655 0.403 Tb
0.672 0.345 0.597 Tb
0.672 0.345 0.903 Tb
0.328 0.655 0.097 Tb
0.040 0.081 0.250 Tb
0.960 0.919 0.750 Tb
0.617 0.233 0.392 Ge
0.383 0.767 0.608 Ge
0.383 0.767 0.892 Ge
0.617 0.233 0.108 Ge
0.769 0.537 0.250 Ge
0.231 0.463 0.750 Ge
0.000 0.000 0.500 Ge
0.000 0.000 0.000 Ge

No. 7
meta-GGA SCAN TbGe, single point on PBEsol structure; ΔH_f (0 K) = -961 meV/atom; total energy = -33.886 eV per atom; symmetry = Cmcm (63)
1.0
3.910 0.000 0.000
0.000 4.256 0.000
0.000 2.128 5.314
Ge Tb
2 2
Direct
0.250 0.416 0.168 Ge
0.750 0.584 0.832 Ge
0.750 0.861 0.277 Tb
0.250 0.139 0.723 Tb

No. 8
meta-GGA SCAN TbTiGe, single point on PBEsol structure; ΔH_f (0 K) = -788 meV/atom; total energy = -28.081 eV per atom; symmetry = I4/mmm (139)
1.0
-2.996 -2.648 -0.050
1.102 -1.178 -3.659
5.560 -3.364 4.943
Ge Tb Ti
2 2 2
Direct
0.878 0.878 0.756 Ge
0.122 0.122 0.244 Ge
0.325 0.325 0.650 Tb
0.675 0.675 0.350 Tb
0.500 0.000 0.000 Ti
0.000 0.500 0.000 Ti

No. 9
meta-GGA SCAN TbTiGe, single point on PBEsol structure; ΔH_f (0 K) = -775 meV/atom; total energy = -28.068 eV per atom; symmetry = P4/nmm (129)
1.0
-2.864 1.334 -2.473
-2.787 -0.904 2.740
0.671 6.969 2.982
Ge Tb Ti
2 2 2
Direct
0.500 0.000 0.242 Ge
0.000 0.500 0.758 Ge
0.000 0.500 0.344 Tb
0.500 0.000 0.656 Tb
0.500 0.500 0.000 Ti
0.000 0.000 0.000 Ti

No. 10
meta-GGA SCAN Tb2Ti3Ge4, single point on PBEsol structure; ΔH_f (0 K) = -880 meV/atom; total energy = -25.098 eV per atom; symmetry = Pnma (62)
1.0
-0.447 -2.314 -6.545
-3.691 -5.609 2.235
-11.325 6.802 -1.631
Tb Ti Ge
8 12 16
Direct
0.998 0.827 0.405 Tb
0.498 0.673 0.095 Tb
0.502 0.327 0.595 Tb
0.002 0.173 0.905 Tb
0.002 0.173 0.595 Tb
0.502 0.327 0.905 Tb
0.498 0.673 0.405 Tb
0.998 0.827 0.095 Tb
0.659 0.168 0.128 Ti
0.159 0.332 0.372 Ti
0.341 0.832 0.628 Ti
0.841 0.668 0.872 Ti
0.841 0.668 0.628 Ti
0.341 0.832 0.872 Ti
0.666 0.991 0.750 Ti
0.159 0.332 0.128 Ti
0.334 0.009 0.250 Ti
0.834 0.491 0.250 Ti
0.166 0.509 0.750 Ti
0.659 0.168 0.372 Ti
0.671 0.956 0.544 Ge
0.171 0.544 0.956 Ge
0.329 0.044 0.044 Ge
0.829 0.456 0.456 Ge
0.829 0.456 0.044 Ge
0.329 0.044 0.456 Ge
0.171 0.544 0.544 Ge
0.671 0.956 0.956 Ge
0.193 0.635 0.250 Ge
0.693 0.865 0.250 Ge
0.307 0.135 0.750 Ge
0.807 0.365 0.750 Ge
0.961 0.131 0.250 Ge
0.461 0.369 0.250 Ge
0.539 0.631 0.750 Ge
0.039 0.869 0.750 Ge

No. 11
meta-GGA SCAN Tb4Zn5Ge6, single point on PBEsol structure; ΔH_f (0 K) = -545 meV/atom; total energy = -25.155 eV per atom; symmetry = Cmc2_1 (36)
1.0
4.214 0.000 0.000
-2.107 9.031 0.000
0.000 0.000 15.525
Tb Zn Ge
8 10 12
Direct
0.678 0.356 0.508 Tb
0.471 0.941 0.821 Tb
0.325 0.650 0.365 Tb
0.322 0.644 0.008 Tb
0.529 0.059 0.321 Tb
0.533 0.066 0.050 Tb
0.467 0.934 0.550 Tb
0.675 0.350 0.865 Tb
0.925 0.851 0.105 Zn
0.210 0.420 0.678 Zn
0.645 0.291 0.183 Zn
0.355 0.709 0.683 Zn
0.926 0.853 0.269 Zn
0.790 0.580 0.178 Zn
0.074 0.147 0.769 Zn
0.153 0.306 0.325 Zn
0.847 0.694 0.825 Zn
0.075 0.149 0.605 Zn
0.935 0.870 0.950 Ge
0.279 0.557 0.821 Ge
0.926 0.852 0.428 Ge
0.384 0.768 0.186 Ge
0.942 0.885 0.687 Ge
0.058 0.115 0.187 Ge
0.616 0.232 0.686 Ge
0.289 0.578 0.544 Ge
0.711 0.422 0.044 Ge
0.074 0.148 0.928 Ge
0.721 0.443 0.321 Ge
0.065 0.130 0.450 Ge

No. 12
meta-GGA SCAN TbZnGe, single point on PBEsol structure; ΔH_f (0 K) = -749 meV/atom; total energy = -27.204 eV per atom; symmetry = P6_3/mmc (194)
1.0
-1.508 -3.719 0.962
-0.030 1.287 -3.921
7.206 -3.208 -1.109
Ge Tb Zn
2 2 2
Direct
0.333 0.667 0.750 Ge
0.667 0.333 0.250 Ge
0.000 0.000 0.000 Tb
0.000 0.000 0.500 Tb
0.333 0.667 0.250 Zn
0.667 0.333 0.750 Zn

No. 13
meta-GGA SCAN TcGe3, single point on PBEsol structure; ΔH_f (0 K) = 435 meV/atom; total energy = -22.646 eV per atom; symmetry = I4/mmm (139)
1.0
4.006 0.000 0.000
0.000 4.006 0.000
-2.003 -2.003 3.846
Tc Ge
1 3
Direct
0.000 0.000 0.000 Tc
0.250 0.750 0.500 Ge
0.750 0.250 0.500 Ge
0.500 0.500 0.000 Ge

No. 14
meta-GGA SCAN Ti3TcGe, single point on PBEsol structure; ΔH_f (0 K) = 432 meV/atom; total energy = -20.016 eV per atom; symmetry = Pm-3m (221)
1.0
4.609 0.000 0.000
0.000 4.609 0.000
0.000 0.000 4.609
Ge Tc Ti
1 1 3
Direct
0.500 0.500 0.500 Ge
0.000 0.000 0.000 Tc
0.000 0.500 0.000 Ti
0.000 0.000 0.500 Ti
0.500 0.000 0.000 Ti

No. 15
meta-GGA SCAN U4Tc7Ge6, single point on PBEsol structure; ΔH_f (0 K) = -450 meV/atom; total energy = -45.982 eV per atom; symmetry = Im-3m (229)
1.0
7.120 0.000 0.000
-2.373 6.712 0.000
-2.373 -3.356 5.813
U Tc Ge
4 7 6
Direct
0.500 0.000 0.000 U
0.000 0.500 0.000 U
0.500 0.500 0.500 U
0.000 0.000 0.500 U
0.250 0.750 0.500 Tc
0.500 0.250 0.750 Tc
0.500 0.750 0.250 Tc
0.750 0.500 0.250 Tc
0.250 0.500 0.750 Tc
0.750 0.250 0.500 Tc
0.000 0.000 0.000 Tc
0.693 0.693 0.000 Ge
0.000 0.307 0.307 Ge
0.000 0.693 0.693 Ge
0.307 0.000 0.307 Ge
0.693 0.000 0.693 Ge
0.307 0.307 0.000 Ge

No. 16
meta-GGA SCAN YTc2Ge2, single point on PBEsol structure; ΔH_f (0 K) = -501 meV/atom; total energy = -27.729 eV per atom; symmetry = I4/mmm (139)
1.0
4.065 0.000 0.000
0.000 4.065 0.000
-2.033 -2.033 5.292
Y Ge Tc
1 2 2
Direct
0.000 0.000 0.000 Y
0.382 0.382 0.764 Ge
0.618 0.618 0.236 Ge
0.250 0.750 0.500 Tc
0.750 0.250 0.500 Tc

No. 17
meta-GGA SCAN Y3TcGe, single point on PBEsol structure; ΔH_f (0 K) = 100 meV/atom; total energy = -27.435 eV per atom; symmetry = Pm-3m (221)
1.0
-2.655 4.413 -0.345
-1.528 -1.291 -4.758
-4.154 -2.345 1.970
Y Ge Tc
3 1 1
Direct
0.000 0.500 0.000 Y
0.000 0.000 0.500 Y
0.500 0.000 0.000 Y
0.500 0.500 0.500 Ge
0.000 0.000 0.000 Tc

No. 18
meta-GGA SCAN ZnTcGe3, single point on PBEsol structure; ΔH_f (0 K) = 1177 meV/atom; total energy = -19.990 eV per atom; symmetry = Pm-3m (221)
1.0
-2.642 0.983 -3.699
-3.520 -2.388 1.880
-1.502 3.868 2.100
Zn Ge Tc
1 3 1
Direct
0.000 0.000 0.000 Zn
0.000 0.500 0.000 Ge
0.000 0.000 0.500 Ge
0.500 0.000 0.000 Ge
0.500 0.500 0.500 Tc

No. 19
meta-GGA SCAN Zr2TcGe2, single point on PBEsol structure; ΔH_f (0 K) = -817 meV/atom; total energy = -27.744 eV per atom; symmetry = P4/mbm (127)
1.0
3.906 0.000 0.000
0.000 6.620 0.000
0.000 0.000 6.620
Ge Tc Zr
4 2 4
Direct
0.000 0.365 0.865 Ge
0.000 0.865 0.635 Ge
0.000 0.635 0.135 Ge
0.000 0.135 0.365 Ge
0.000 0.000 0.000 Tc
0.000 0.500 0.500 Tc
0.500 0.172 0.672 Zr
0.500 0.672 0.828 Zr
0.500 0.828 0.328 Zr
0.500 0.328 0.172 Zr